DFT (PBE) results for crystalline DyCuSb3 at its relaxed geometry.

a b c (Å): 6.1888 6.2405 12.4495
angles (deg): 90.00 90.00 90.00
With the nearest neighbours (Å) after each atom.
Element x y z (fractional)
Cu  0.0000  0.7500  0.8890  6 Sb 2.70-2.92
Cu  0.5000  0.7500  0.8890  6 Sb 2.70-2.92
Sb  0.7500  0.3672  0.9432  4 Cu 2.70-2.92
Sb  0.7500  0.0079  0.7634  2 Cu 2.73
Sb  0.2500  0.1328  0.9432  4 Cu 2.70-2.92
Sb  0.2500  0.9921  0.2366  2 Cu 2.73
Dy  0.7500  0.5005  0.6914  9 Sb 3.20-3.29, 2 Cu 3.30
Sb  0.7500  0.5079  0.2366  2 Cu 2.73
Sb  0.5000  0.2500  0.4972  4 Sb 3.09-3.12, 4 Dy 3.21-3.27
Dy  0.2500  0.9995  0.6914  9 Sb 3.20-3.29, 2 Cu 3.30
Sb  0.0000  0.7500  0.5028  4 Sb 3.09-3.12, 4 Dy 3.21-3.27
Cu  0.5000  0.2500  0.1110  6 Sb 2.70-2.92
Sb  0.7500  0.8672  0.0568  4 Cu 2.70-2.92
Dy  0.2500  0.4995  0.3086  9 Sb 3.20-3.29, 2 Cu 3.30
Cu  0.0000  0.2500  0.1110  6 Sb 2.70-2.92
Sb  0.0000  0.2500  0.4972  4 Sb 3.09-3.12, 4 Dy 3.21-3.27
Dy  0.7500  0.0005  0.3086  9 Sb 3.20-3.29, 2 Cu 3.30
Sb  0.2500  0.6328  0.0568  4 Cu 2.70-2.92
Sb  0.2500  0.4921  0.7634  2 Cu 2.73
Sb  0.5000  0.7500  0.5028  4 Sb 3.09-3.12, 4 Dy 3.21-3.27

Properties
The uncorrected formation energy is -0.3830 eV/atom. The calculation puts the density of states at the Fermi level at 9.34 states/eV per cell.


DFT (PBE) results for crystalline DySc2Cu at its relaxed geometry.

a b c (Å): 3.4467 3.4467 9.4535
angles (deg): 79.50 79.50 60.00
With the nearest neighbours (Å) after each atom.
Element x y z (fractional)
Dy  0.5014  0.5014  0.4957  6 Sc 3.38-3.45, 6 Dy 3.45
Cu  0.6656  0.6656  0.0031  6 Sc 2.70-2.73
Sc  0.0664  0.0664  0.8009  3 Cu 2.73
Sc  0.2666  0.2666  0.2002  3 Cu 2.70

Properties
As for the energy above the most stable polymorph in this dataset: 157 meV per atom. For the energy relative to the elements, the calculation gives 0.19 eV/f.u. The calculation puts the density of states at the Fermi level at 5.33 states/eV per cell.


DFT (PBE) results for crystalline Dy2ScCu2 at its relaxed geometry.

a b c (Å): 3.6772 6.0292 6.0292
angles (deg): 64.12 72.25 72.25
With the nearest neighbours (Å) after each atom.
Element x y z (fractional)
Cu  0.5000  0.6981  0.3019  1 Cu 2.54, 2 Sc 2.67
Dy  0.7975  0.7025  0.7025  4 Cu 2.95
Dy  0.2025  0.2975  0.2975  4 Cu 2.95
Cu  0.5000  0.3019  0.6981  1 Cu 2.54, 2 Sc 2.67
Sc  0.0000  0.0000  0.0000  4 Cu 2.67

Properties
As for the energy above the most stable polymorph in this dataset: 28 meV per atom. For the energy relative to the elements, the calculation gives -0.69 eV/f.u. The calculation puts the density of states at the Fermi level at 7.43 states/eV per cell.


Calculated total energy: -4.596, -5.293, -4.883 (eV/atom)